[1]
Entry from Alexandria via LeMat-Bulk: a geometry-optimized Sm2TmPuTe5 structure (PBE).

```
Sm2TmPuTe5
1.0
-4.963 -2.267 0.085
2.091 -4.493 2.284
-1.891 4.540 10.660
Te Tm Sm Pu
5 1 2 1
Cartesian
-1.436 -3.380 1.185
-3.427 1.137 5.373
-0.478 1.149 2.697
0.100 0.024 6.472
-1.413 3.391 7.963
-0.945 2.270 5.330
-2.068 -1.863 4.746
-2.695 -0.357 8.283
0.000 0.000 0.000
```

Results
space group = No. 123
DOS at the Fermi energy = 21.64 states/eV/f.u.
ΔE_f (raw) = -0.703 eV per atom

***

[2]
Entry from Alexandria via LeMat-Bulk: a geometry-optimized Ce5Zn2Ge5 structure (PBE).

```
Ce5Zn2Ge5
1.0
-2.001 2.553 -2.675
-7.088 -3.057 -0.920
-3.440 6.356 5.334
Ge Zn Ce
5 2 5
Cartesian
-4.315 2.031 -1.443
-8.605 2.449 -1.139
-8.213 3.821 3.182
0.000 0.000 0.000
-3.923 3.404 2.878
-8.099 5.388 1.287
-4.429 0.464 0.452
-5.862 5.943 3.448
-6.264 2.926 0.870
-10.519 3.246 1.053
-2.009 2.607 0.686
-6.666 -0.091 -1.709
```

Results
space group = No. 12
energy of formation = -7.40 eV per formula unit
DOS at the Fermi energy = 23.52 states/eV/f.u.
polymorph energy (0 for the lowest one) = 0 meV per atom

***

[3]
Entry from Alexandria via LeMat-Bulk: a geometry-optimized BeTc2Ru structure (PBE).

```
BeTc2Ru
1.0
-0.426 -3.528 -2.668
1.860 -3.846 -1.222
-2.304 -2.716 3.045
Tc Be Ru
2 1 1
Cartesian
-0.236 -2.504 -0.179
-0.020 -0.074 0.016
-0.463 -5.062 -0.383
-0.586 -7.495 -0.723
```

Results
space group = No. 8
energy of formation = 0.41 eV per formula unit
DOS at the Fermi energy = 3.57 states/eV/f.u.

***

[4]
Entry from Alexandria via LeMat-Bulk: a geometry-optimized Ce6Bi2Te3Pb structure (PBE).

```
Ce6Bi2Te3Pb
1.0
-1.969 -2.425 3.344
7.852 -4.198 1.578
1.546 9.032 4.328
Ce Te Bi Pb
6 3 2 1
Cartesian
7.590 1.362 5.456
-0.161 1.046 3.795
3.801 -1.077 4.588
3.628 3.486 4.663
1.532 5.544 8.053
5.897 -3.135 1.198
2.942 -3.312 2.461
0.693 3.291 5.925
6.737 -0.883 3.326
4.621 1.205 6.725
2.809 1.203 2.526
-0.984 -1.213 1.672
```

Results
space group = No. 12
DOS at the Fermi energy = 43.01 states/eV/f.u.
ΔE_f (raw) = -1.013 eV per atom

***

[5]
Entry from Alexandria via LeMat-Bulk: a geometry-optimized Ho2Au3 structure (PBE).

```
Ho2Au3
1.0
3.594 0.000 -0.801
-0.178 3.590 -0.801
0.005 0.005 8.490
Au Ho
3 2
Cartesian
0.000 0.000 0.000
2.734 2.873 3.804
0.687 0.722 3.084
2.084 2.190 0.888
1.337 1.405 6.000
```

Results
space group = No. 139
energy of formation = -4.32 eV per formula unit
DOS at the Fermi energy = 2.35 states/eV/f.u.

***

[6]
Entry from Alexandria via LeMat-Bulk: a geometry-optimized LiCu2P structure (PBE).

```
LiCu2P
1.0
-0.541 4.303 1.270
-2.325 0.825 -3.787
-7.713 0.753 2.203
P Li Cu
2 2 4
Cartesian
-4.844 3.810 1.107
0.000 0.000 0.000
-5.736 2.071 -1.421
-1.433 2.564 -1.258
-6.495 2.358 1.302
-6.332 4.356 2.643
-3.906 4.871 -0.586
-2.642 3.655 1.070
```

Results
space group = No. 122
energy of formation = -0.09 eV per formula unit
DOS at the Fermi energy = 0.00 states/eV/f.u.

***

[7]
Entry from Alexandria via LeMat-Bulk: a geometry-optimized Mn3SiH structure (PBE).

```
Mn3SiH
1.0
12.113 0.000 -1.205
5.317 3.802 -2.675
-5.317 3.802 2.675
Si Mn H
4 12 4
Cartesian
0.370 5.605 1.036
6.427 3.071 0.433
11.743 1.999 -2.241
5.687 4.533 -1.639
1.988 6.971 -0.324
8.070 1.901 -0.958
10.100 5.703 -0.850
8.114 6.957 -0.942
3.999 0.647 -0.264
4.043 5.703 -0.248
2.057 4.449 -0.339
8.045 4.435 -0.927
2.014 1.901 -0.355
10.125 0.633 -0.881
10.056 3.155 -0.866
4.069 3.169 -0.278
10.717 4.419 -1.872
1.397 3.185 0.667
12.770 4.419 -2.611
-0.657 3.185 1.405
```

Results
space group = No. 15
DOS at the Fermi energy = 4.74 states/eV/f.u.
polymorph energy (0 for the lowest one) = 215 meV per atom

***

[8]
Entry from Alexandria via LeMat-Bulk: a geometry-optimized LiMg2Ta structure (PBE).

```
LiMg2Ta
1.0
-5.478 -0.078 0.536
1.544 -1.641 -5.022
0.123 -2.602 0.887
Ta Li Mg
1 1 2
Cartesian
-2.677 -1.340 0.711
0.834 -2.121 -2.068
0.000 0.000 0.000
-1.967 -0.859 -2.243
```

Results
space group = No. 65
energy of formation = 1.11 eV per formula unit
DOS at the Fermi energy = 2.87 states/eV/f.u.
polymorph energy (0 for the lowest one) = 134 meV per atom

***

[9]
Entry from Alexandria via LeMat-Bulk: a geometry-optimized Er6ThSc3 structure (PBE).

```
Er6ThSc3
1.0
-0.597 1.793 2.836
2.087 -10.323 6.965
12.764 5.136 -0.560
Er Th Sc
12 2 6
Cartesian
2.203 -6.608 7.712
9.373 -0.287 5.226
9.382 1.218 2.229
12.453 -1.748 4.750
1.800 -1.647 4.491
3.974 -0.393 2.109
4.881 -3.107 4.016
4.872 -4.612 7.013
10.280 -3.001 7.133
6.023 2.524 2.744
8.230 -5.918 6.498
12.050 3.213 1.529
8.901 4.718 1.963
5.352 -8.112 7.279
7.242 -2.520 6.189
0.941 1.051 2.605
7.011 -0.875 3.053
11.993 1.607 4.580
2.261 -5.002 4.662
13.312 -4.446 6.637
```

Results
space group = No. 11
energy of formation = 0.92 eV per formula unit
DOS at the Fermi energy = 15.17 states/eV/f.u.
polymorph energy (0 for the lowest one) = 0 meV per atom

***

[10]
Entry from Alexandria via LeMat-Bulk: a geometry-optimized TlAs2N structure (PBE).

```
TlAs2N
1.0
-3.658 1.500 -3.364
0.989 -4.167 -2.933
-5.792 -4.735 0.181
Tl N As
2 2 4
Cartesian
-5.392 -2.284 -3.166
0.000 0.000 0.000
-3.069 -5.118 -2.951
-1.335 -1.334 -3.149
-5.180 -5.246 -2.715
-6.844 -5.190 -4.886
-1.897 -3.351 -2.769
-3.001 -1.017 -1.863
```

Results
space group = No. 122
DOS at the Fermi energy = 0.85 states/eV/f.u.
polymorph energy (0 for the lowest one) = 0 meV per atom
ΔE_f (raw) = 0.649 eV per atom

***

[11]
Entry from Alexandria via LeMat-Bulk: a geometry-optimized Mn2CdFeH structure (PBE).

```
Mn2CdFeH
1.0
2.700 0.000 0.000
-1.350 2.339 0.000
0.000 0.000 9.093
Cd H Mn Fe
1 1 2 1
Cartesian
1.350 0.780 8.808
0.000 0.000 6.697
0.000 0.000 4.036
0.000 1.559 6.003
0.000 1.559 2.132
```

Results
space group = No. 156
DOS at the Fermi energy = 4.31 states/eV/f.u.
polymorph energy (0 for the lowest one) = 102 meV per atom

***

[12]
Entry from Alexandria via LeMat-Bulk: a geometry-optimized KCaSmI6 structure (PBE).

```
KCaSmI6
1.0
8.061 0.000 0.000
-4.031 6.981 0.000
0.000 0.000 15.478
I Ca K Sm
12 2 2 2
Cartesian
1.454 2.580 13.407
6.554 2.549 2.071
2.961 0.031 2.071
2.577 4.401 2.071
2.523 4.432 9.810
1.507 2.549 5.668
5.100 0.031 5.668
1.069 6.950 13.407
-1.454 2.580 9.810
-2.523 4.432 13.407
-1.069 6.950 9.810
5.484 4.401 5.668
0.000 4.654 3.870
4.031 2.327 11.609
0.000 0.000 7.739
0.000 0.000 0.000
0.000 4.654 11.609
4.031 2.327 3.870
```

Results
space group = No. 163
DOS at the Fermi energy = 0.00 states/eV/f.u.
ΔE_f (raw) = -1.499 eV per atom